Entry 1:
First-principles (PBE) data for a relaxed SmMg2Ga2Pd crystal, as listed in the Alexandria database.

Structure (CIF):
```
data_SmMg2Ga2Pd
_chemical_formula_sum 'Sm2 Mg4 Ga4 Pd2'
_cell_length_a 5.1402
_cell_length_b 5.1402
_cell_length_c 10.9148
_cell_angle_alpha 90.00
_cell_angle_beta 90.00
_cell_angle_gamma 90.00
_symmetry_space_group_name_H-M 'I 4/m m m'
_symmetry_Int_Tables_number 139
_symmetry_space_group_name_Hall '-I 4 2'
loop_
_atom_site_label
_atom_site_fract_x
_atom_site_fract_y
_atom_site_fract_z
Sm1 0.0000 0.0000 0.0000
Mg1 0.0000 0.5000 0.2500
Ga1 0.0000 0.0000 0.2812
Pd1 0.0000 0.0000 0.5000
```

ΔH_f (0 K) = -26 meV per atom
DOS at the Fermi energy = 7.79 states/eV/cell
VASP energy = -3.22 eV per atom

=====

Entry 2:
First-principles (PBE) data for a relaxed CsReSe3 crystal, as listed in the Alexandria database.

Structure (CIF):
```
data_CsReSe3
_chemical_formula_sum 'Cs1 Re1 Se3'
_cell_length_a 5.5947
_cell_length_b 5.5947
_cell_length_c 5.5947
_cell_angle_alpha 90.00
_cell_angle_beta 90.00
_cell_angle_gamma 90.00
_symmetry_space_group_name_H-M 'P m -3 m'
_symmetry_Int_Tables_number 221
_symmetry_space_group_name_Hall '-P 4 2 3'
loop_
_atom_site_label
_atom_site_fract_x
_atom_site_fract_y
_atom_site_fract_z
Cs1 0.0000 0.0000 0.0000
Re1 0.5000 0.5000 0.5000
Se1 0.0000 0.0000 0.5000
```

DOS at the Fermi energy = 13.02 states/eV/cell
VASP energy = -2.08 eV per atom
Energy relative to the elements, uncorrected = 2.671 eV/atom

=====

Entry 3:
First-principles (PBE) data for a relaxed Ta2ZnCo crystal, as listed in the Alexandria database.

Structure (CIF):
```
data_Ta2ZnCo
_chemical_formula_sum 'Ta2 Zn1 Co1'
_cell_length_a 2.7948
_cell_length_b 4.4500
_cell_length_c 4.8905
_cell_angle_alpha 90.00
_cell_angle_beta 96.05
_cell_angle_gamma 90.00
_symmetry_space_group_name_H-M 'P 1 m 1'
_symmetry_Int_Tables_number 6
loop_
_symmetry_equiv_pos_as_xyz
'x,y,z'
'x,-y,z'
loop_
_atom_site_label
_atom_site_fract_x
_atom_site_fract_y
_atom_site_fract_z
Ta1 0.0000 0.0000 0.0000
Ta2 0.1881 0.5000 0.6520
Zn1 0.5809 0.5000 0.1737
Co1 0.5755 0.0000 0.4887
```

ΔH_f (0 K) = 20 meV per atom
DOS at the Fermi energy = 4.01 states/eV/cell
VASP energy = -8.00 eV per atom

=====

Entry 4:
First-principles (PBE) data for a relaxed Ti2BeP crystal, as listed in the Alexandria database.

Structure (CIF):
```
data_Ti2BeP
_chemical_formula_sum 'Ti4 Be2 P2'
_cell_length_a 4.8295
_cell_length_b 3.3925
_cell_length_c 6.8439
_cell_angle_alpha 90.00
_cell_angle_beta 110.53
_cell_angle_gamma 90.00
_symmetry_space_group_name_H-M 'P 1 21/m 1'
_symmetry_Int_Tables_number 11
loop_
_symmetry_equiv_pos_as_xyz
'x,y,z'
'-x,-y,-z'
'-x,y+1/2,-z'
'x,-y+1/2,z'
loop_
_atom_site_label
_atom_site_fract_x
_atom_site_fract_y
_atom_site_fract_z
Ti1 0.2039 0.2500 0.4261
Ti2 0.2061 0.2500 0.9272
Be1 0.3503 0.7500 0.2139
P1 0.3618 0.7500 0.7147
```

ΔH_f (0 K) = -871 meV per atom
DOS at the Fermi energy = 5.30 states/eV/cell
VASP energy = -7.10 eV per atom

=====

Entry 5:
First-principles (PBE) data for a relaxed Ac3Hf5Te12 crystal, as listed in the Alexandria database.

Structure (CIF):
```
data_Ac3Hf5Te12
_chemical_formula_sum 'Ac24 Hf40 Te96'
_cell_length_a 17.9596
_cell_length_b 17.9596
_cell_length_c 17.9596
_cell_angle_alpha 90.00
_cell_angle_beta 90.00
_cell_angle_gamma 90.00
_symmetry_space_group_name_H-M 'I a -3 d'
_symmetry_Int_Tables_number 230
_symmetry_space_group_name_Hall '-I 4bd 2c 3'
loop_
_atom_site_label
_atom_site_fract_x
_atom_site_fract_y
_atom_site_fract_z
Ac1 0.0000 0.2500 0.1250
Hf1 0.0000 0.0000 0.0000
Hf2 0.0000 0.2500 0.3750
Te1 0.0297 0.0616 0.6473
```

DOS at the Fermi energy = 128.20 states/eV/cell
VASP energy = -5.79 eV per atom
Energy relative to the elements, uncorrected = -0.804 eV/atom

=====

Entry 6:
First-principles (PBE) data for a relaxed CsZrN2O crystal, as listed in the Alexandria database.

Structure (CIF):
```
data_CsZrN2O
_chemical_formula_sum 'Cs1 Zr1 N2 O1'
_cell_length_a 4.4649
_cell_length_b 4.4649
_cell_length_c 4.2375
_cell_angle_alpha 90.00
_cell_angle_beta 90.00
_cell_angle_gamma 90.00
_symmetry_space_group_name_H-M 'P 4/m m m'
_symmetry_Int_Tables_number 123
_symmetry_space_group_name_Hall '-P 4 2'
loop_
_atom_site_label
_atom_site_fract_x
_atom_site_fract_y
_atom_site_fract_z
Cs1 0.0000 0.0000 0.0000
Zr1 0.5000 0.5000 0.5000
N1 0.0000 0.5000 0.0000
O1 0.0000 0.0000 0.5000
```

DOS at the Fermi energy = 4.16 states/eV/cell
VASP energy = -4.38 eV per atom
Energy relative to the elements, uncorrected = 1.826 eV/atom

=====

Entry 7:
First-principles (PBE) data for a relaxed Mg2Ru crystal, as listed in the Alexandria database.

Structure (CIF):
```
data_Mg2Ru
_chemical_formula_sum 'Mg8 Ru4'
_cell_length_a 5.2584
_cell_length_b 5.2584
_cell_length_c 8.6891
_cell_angle_alpha 90.00
_cell_angle_beta 90.00
_cell_angle_gamma 120.00
_symmetry_space_group_name_H-M 'P 63/m m c'
_symmetry_Int_Tables_number 194
_symmetry_space_group_name_Hall '-P 6c 2c'
loop_
_atom_site_label
_atom_site_fract_x
_atom_site_fract_y
_atom_site_fract_z
Mg1 0.0000 0.0000 0.0000
Mg2 0.1734 0.3468 0.2500
Ru1 0.3333 0.6667 0.5274
```

ΔH_f (0 K) = 503 meV per atom
DOS at the Fermi energy = 14.04 states/eV/cell
VASP energy = -3.65 eV per atom

=====

Entry 8:
First-principles (PBE) data for a relaxed Li2YPb crystal, as listed in the Alexandria database.

Structure (CIF):
```
data_Li2YPb
_chemical_formula_sum 'Li2 Y1 Pb1'
_cell_length_a 3.6250
_cell_length_b 4.8029
_cell_length_c 5.9656
_cell_angle_alpha 90.00
_cell_angle_beta 106.73
_cell_angle_gamma 90.00
_symmetry_space_group_name_H-M 'P 1 m 1'
_symmetry_Int_Tables_number 6
loop_
_symmetry_equiv_pos_as_xyz
'x,y,z'
'x,-y,z'
loop_
_atom_site_label
_atom_site_fract_x
_atom_site_fract_y
_atom_site_fract_z
Li1 0.0000 0.0000 0.0000
Li2 0.4144 0.5000 0.8424
Y1 0.7136 0.0000 0.4585
Pb1 0.1259 0.5000 0.2765
```

ΔH_f (0 K) = -221 meV per atom
DOS at the Fermi energy = 1.73 states/eV/cell
VASP energy = -3.72 eV per atom

=====

Entry 9:
First-principles (PBE) data for a relaxed Cs3YTh2Te6 crystal, as listed in the Alexandria database.

Structure (CIF):
```
data_Cs3YTh2Te6
_chemical_formula_sum 'Cs6 Y2 Th4 Te12'
_cell_length_a 7.8619
_cell_length_b 13.6146
_cell_length_c 9.4480
_cell_angle_alpha 90.00
_cell_angle_beta 106.10
_cell_angle_gamma 90.00
_symmetry_space_group_name_H-M 'C 1 2/m 1'
_symmetry_Int_Tables_number 12
loop_
_symmetry_equiv_pos_as_xyz
'x,y,z'
'-x,-y,-z'
'-x,y,-z'
'x,-y,z'
'x+1/2,y+1/2,z'
'-x+1/2,-y+1/2,-z'
'-x+1/2,y+1/2,-z'
'x+1/2,-y+1/2,z'
loop_
_atom_site_label
_atom_site_fract_x
_atom_site_fract_y
_atom_site_fract_z
Cs1 0.0000 0.0000 0.0000
Cs2 0.0000 0.3318 0.0000
Y1 0.0000 0.5000 0.5000
Th1 0.0000 0.1663 0.5000
Te1 0.2301 0.3353 0.6968
Te2 0.2369 0.0000 0.6977
```

DOS at the Fermi energy = 14.70 states/eV/cell
VASP energy = -4.80 eV per atom
Energy relative to the elements, uncorrected = -1.241 eV/atom

=====

Entry 10:
First-principles (PBE) data for a relaxed Sm3IrO7 crystal, as listed in the Alexandria database.

Structure (CIF):
```
data_Sm3IrO7
_chemical_formula_sum 'Sm12 Ir4 O28'
_cell_length_a 10.7993
_cell_length_b 7.4725
_cell_length_c 7.5317
_cell_angle_alpha 90.00
_cell_angle_beta 90.00
_cell_angle_gamma 90.00
_symmetry_space_group_name_H-M 'C m c m'
_symmetry_Int_Tables_number 63
_symmetry_space_group_name_Hall '-C 2c 2'
loop_
_atom_site_label
_atom_site_fract_x
_atom_site_fract_y
_atom_site_fract_z
Sm1 0.0000 0.0000 0.0000
Sm2 0.2239 0.2981 0.2500
Ir1 0.0000 0.5000 0.0000
O1 0.0000 0.4117 0.2500
O2 0.1271 0.3109 0.5370
O3 0.1325 0.0227 0.2500
```

DOS at the Fermi energy = 18.07 states/eV/cell
VASP energy = -7.84 eV per atom
Energy relative to the elements, uncorrected = -2.597 eV/atom

=====

Entry 11:
First-principles (PBE) data for a relaxed FeHg crystal, as listed in the Alexandria database.

Structure (CIF):
```
data_FeHg
_chemical_formula_sum 'Fe6 Hg6'
_cell_length_a 4.0528
_cell_length_b 4.1486
_cell_length_c 12.2644
_cell_angle_alpha 90.00
_cell_angle_beta 90.00
_cell_angle_gamma 90.00
_symmetry_space_group_name_H-M 'A m m 2'
_symmetry_Int_Tables_number 38
loop_
_symmetry_equiv_pos_as_xyz
'x,y,z'
'-x,-y,z'
'-x,y,z'
'x,-y,z'
'x,y+1/2,z+1/2'
'-x,-y+1/2,z+1/2'
'-x,y+1/2,z+1/2'
'x,-y+1/2,z+1/2'
loop_
_atom_site_label
_atom_site_fract_x
_atom_site_fract_y
_atom_site_fract_z
Fe1 0.0000 0.0000 0.0000
Fe2 0.0000 0.0000 0.3808
Fe3 0.5000 0.0000 0.4977
Hg1 0.0000 0.0000 0.6595
Hg2 0.5000 0.0000 0.1659
Hg3 0.5000 0.0000 0.8491
```

ΔH_f (0 K) = 413 meV per atom
DOS at the Fermi energy = 11.58 states/eV/cell
VASP energy = -3.97 eV per atom

=====

Entry 12:
First-principles (PBE) data for a relaxed YSb2Cl crystal, as listed in the Alexandria database.

Structure (CIF):
```
data_YSb2Cl
_chemical_formula_sum 'Y2 Sb4 Cl2'
_cell_length_a 4.0223
_cell_length_b 5.7011
_cell_length_c 12.8578
_cell_angle_alpha 90.00
_cell_angle_beta 90.00
_cell_angle_gamma 90.00
_symmetry_space_group_name_H-M 'I m m 2'
_symmetry_Int_Tables_number 44
loop_
_symmetry_equiv_pos_as_xyz
'x,y,z'
'-x,-y,z'
'-x,y,z'
'x,-y,z'
'x+1/2,y+1/2,z+1/2'
'-x+1/2,-y+1/2,z+1/2'
'-x+1/2,y+1/2,z+1/2'
'x+1/2,-y+1/2,z+1/2'
loop_
_atom_site_label
_atom_site_fract_x
_atom_site_fract_y
_atom_site_fract_z
Y1 0.0000 0.0000 0.0000
Sb1 0.0000 0.0000 0.4167
Sb2 0.0000 0.5000 0.0778
Cl1 0.0000 0.5000 0.6367
```

VASP energy = -4.95 eV per atom
Energy relative to the elements, uncorrected = -0.808 eV/atom

=====

> What is the formula in the fifth record?

Ac3Hf5Te12

=====

> What is the VASP energy in the tenth record?

-7.84 eV per atom